A plane-wave DFT calculation with GGA-PBE was carried out for an optimized crystal structure of Zr3OsW.

Summary:
Its energy relative to the elements is 1.026 eV per atom. The density of states at the Fermi level comes out at 5.59 states/eV/cell. The size of the total moment comes out at 1.26 μB/cell.

Unit cell a=4.977 b=4.977 c=4.977 alpha=90.00 beta=90.00 gamma=90.00
Positions (direct):
Zr 0.500 0.000 0.000
Zr 0.000 0.000 0.500
Zr 0.000 0.500 0.000
Os 0.000 0.000 0.000
W 0.500 0.500 0.500

---

A plane-wave DFT calculation with GGA-PBE was carried out for an optimized crystal structure of Ba2PrO.

Summary:
The density of states at the Fermi level comes out at 3.88 states/eV/cell. The size of the total moment comes out at 0.00 μB/cell. Its uncorrected formation energy is -981 meV/atom.

Unit cell a=3.853 b=3.853 c=10.996 alpha=79.91 beta=79.91 gamma=60.00
Positions (direct):
O 0.500 0.500 0.500
Ba 0.118 0.118 0.646
Ba 0.882 0.882 0.354
Pr 0.000 0.000 0.000

---

A plane-wave DFT calculation with GGA-PBE was carried out for an optimized crystal structure of ScCoMo3.

Summary:
Its energy relative to the elements is 2.261 eV per atom. The density of states at the Fermi level comes out at 8.00 states/eV/cell. The size of the total moment comes out at 0.00 μB/cell.

Unit cell a=4.519 b=4.519 c=4.519 alpha=90.00 beta=90.00 gamma=90.00
Positions (direct):
Co 0.500 0.500 0.500
Mo 0.000 0.000 0.500
Mo 0.000 0.500 0.000
Mo 0.500 0.000 0.000
Sc 0.000 0.000 0.000

---

A plane-wave DFT calculation with GGA-PBE was carried out for an optimized crystal structure of ScTlTe.

Summary:
The density of states at the Fermi level comes out at 1.61 states/eV/cell. The size of the total moment comes out at 0.00 μB/cell. Its uncorrected formation energy is -548 meV/atom.

Unit cell a=6.696 b=6.696 c=3.745 alpha=73.76 beta=73.76 gamma=32.48
Positions (direct):
Sc 0.981 0.981 0.019
Te 0.377 0.377 0.623
Tl 0.642 0.642 0.358

---

A plane-wave DFT calculation with GGA-PBE was carried out for an optimized crystal structure of EuYAg2.

Summary:
Its energy relative to the elements is -0.306 eV per atom. The density of states at the Fermi level comes out at 9.79 states/eV/cell. The size of the total moment comes out at 7.25 μB/cell.

Unit cell a=3.720 b=3.720 c=7.505 alpha=90.00 beta=90.00 gamma=90.00
Positions (direct):
Eu 0.500 0.500 0.500
Ag 0.000 0.000 0.779
Ag 0.000 0.000 0.221
Y 0.500 0.500 0.000

---

A plane-wave DFT calculation with GGA-PBE was carried out for an optimized crystal structure of DyGa4Rh.

Summary:
Its energy relative to the elements is -0.232 eV per atom. The density of states at the Fermi level comes out at 6.32 states/eV/cell. The size of the total moment comes out at 0.00 μB/cell.

Unit cell a=7.226 b=7.226 c=5.195 alpha=90.00 beta=90.00 gamma=90.00
Positions (direct):
Ga 0.000 0.333 0.971
Ga 0.000 0.667 0.971
Ga 0.333 0.000 0.029
Ga 0.500 0.167 0.529
Ga 0.167 0.500 0.471
Ga 0.500 0.833 0.529
Ga 0.667 0.000 0.029
Ga 0.833 0.500 0.471
Dy 0.000 0.000 0.500
Dy 0.500 0.500 0.000
Rh 0.500 0.500 0.500
Rh 0.000 0.000 0.000

---

A plane-wave DFT calculation with GGA-PBE was carried out for an optimized crystal structure of Ca2Nd3Cd3.

Summary:
Its energy relative to the elements is -0.196 eV per atom. The density of states at the Fermi level comes out at 9.50 states/eV/cell. The size of the total moment comes out at 1.37 μB/cell.

Unit cell a=3.841 b=5.595 c=12.137 alpha=103.33 beta=99.10 gamma=90.00
Positions (direct):
Nd 0.383 0.383 0.766
Nd 0.500 0.000 0.000
Nd 0.617 0.617 0.234
Ca 0.272 0.772 0.545
Ca 0.728 0.228 0.455
Cd 0.000 0.500 0.000
Cd 0.885 0.885 0.770
Cd 0.115 0.115 0.230

---

A plane-wave DFT calculation with GGA-PBE was carried out for an optimized crystal structure of YMgCl2.

Summary:
The density of states at the Fermi level comes out at 0.94 states/eV/cell. The size of the total moment comes out at 0.00 μB/cell. Its uncorrected formation energy is -1116 meV/atom.

Unit cell a=3.616 b=3.616 c=10.376 alpha=90.00 beta=90.00 gamma=120.21
Positions (direct):
Mg 0.500 0.500 0.250
Cl 0.000 0.000 0.943
Cl 0.000 0.000 0.557
Y 0.500 0.500 0.750

---

A plane-wave DFT calculation with GGA-PBE was carried out for an optimized crystal structure of TlCdCuTe2.

Summary:
The size of the total moment comes out at 0.00 μB/cell. Its uncorrected formation energy is -202 meV/atom.

Unit cell a=5.650 b=7.672 c=7.875 alpha=102.68 beta=90.00 gamma=90.00
Positions (direct):
Te 0.289 0.757 0.443
Te 0.711 0.757 0.943
Te 0.711 0.243 0.557
Te 0.289 0.243 0.057
Cu 0.000 0.000 0.500
Cu 0.000 0.000 0.000
Cd 0.516 0.000 0.250
Cd 0.484 0.000 0.750
Tl 0.183 0.500 0.750
Tl 0.817 0.500 0.250

---

A plane-wave DFT calculation with GGA-PBE was carried out for an optimized crystal structure of ZrPtS.

Summary:
The density of states at the Fermi level comes out at 3.37 states/eV/cell. The size of the total moment comes out at 0.00 μB/cell. Its uncorrected formation energy is -961 meV/atom.

Unit cell a=3.394 b=3.394 c=10.191 alpha=99.59 beta=99.59 gamma=90.00
Positions (direct):
Pt 0.436 0.436 0.872
Pt 0.564 0.564 0.128
Zr 0.143 0.143 0.286
Zr 0.857 0.857 0.714
S 0.697 0.697 0.395
S 0.303 0.303 0.605

---

A plane-wave DFT calculation with GGA-PBE was carried out for an optimized crystal structure of RbGaGe2Br.

Summary:
The density of states at the Fermi level comes out at 5.49 states/eV/cell. The size of the total moment comes out at 3.33 μB/cell. Its uncorrected formation energy is 1278 meV/atom.

Unit cell a=6.095 b=6.817 c=6.095 alpha=90.00 beta=90.00 gamma=90.00
Positions (direct):
Ga 0.000 0.500 0.000
Rb 0.000 0.000 0.000
Br 0.500 0.500 0.500
Ge 0.000 0.000 0.500
Ge 0.500 0.000 0.000

---

A plane-wave DFT calculation with GGA-PBE was carried out for an optimized crystal structure of NbAsP2O.

Summary:
The density of states at the Fermi level comes out at 2.22 states/eV/cell. The size of the total moment comes out at 0.00 μB/cell. Its uncorrected formation energy is -202 meV/atom.

Unit cell a=4.976 b=4.976 c=3.837 alpha=90.00 beta=90.00 gamma=90.00
Positions (direct):
As 0.500 0.500 0.500
O 0.000 0.000 0.500
Nb 0.000 0.000 0.000
P 0.500 0.000 0.000
P 0.000 0.500 0.000

---

A plane-wave DFT calculation with GGA-PBE was carried out for an optimized crystal structure of SrTaIN2.

Summary:
The density of states at the Fermi level comes out at 2.25 states/eV/cell. The size of the total moment comes out at 0.10 μB/cell. Its uncorrected formation energy is -187 meV/atom.

Unit cell a=4.241 b=4.241 c=5.625 alpha=90.00 beta=90.00 gamma=90.00
Positions (direct):
I 0.000 0.000 0.500
Ta 0.000 0.000 0.000
N 0.000 0.500 0.000
N 0.500 0.000 0.000
Sr 0.500 0.500 0.500

---

A plane-wave DFT calculation with GGA-PBE was carried out for an optimized crystal structure of LiSiH6.

Summary:
The total energy comes out at -3.2292 eV/atom. The density of states at the Fermi level comes out at 2.81 states/eV/cell. The size of the total moment comes out at 0.00 μB/cell.

Unit cell a=4.779 b=4.779 c=4.779 alpha=60.00 beta=60.00 gamma=60.00
Positions (direct):
H 0.233 0.767 0.767
H 0.233 0.233 0.767
H 0.767 0.233 0.233
H 0.767 0.767 0.233
H 0.767 0.233 0.767
H 0.233 0.767 0.233
Li 0.500 0.500 0.500
Si 0.000 0.000 0.000

---

A plane-wave DFT calculation with GGA-PBE was carried out for an optimized crystal structure of TbCeDy2Er4.

Summary:
Its energy relative to the elements is 0.044 eV per atom. The density of states at the Fermi level comes out at 12.31 states/eV/cell. The size of the total moment comes out at 0.88 μB/cell.

Unit cell a=4.995 b=4.988 c=11.111 alpha=63.34 beta=90.00 gamma=90.00
Positions (direct):
Dy 0.500 0.000 0.500
Dy 0.000 0.000 0.000
Er 0.500 0.748 0.252
Er 0.500 0.252 0.748
Er 0.000 0.248 0.252
Er 0.000 0.752 0.748
Tb 0.500 0.500 0.000
Ce 0.000 0.500 0.500

---

A plane-wave DFT calculation with GGA-PBE was carried out for an optimized crystal structure of SrCaBiF2.

Summary:
The density of states at the Fermi level comes out at 1.33 states/eV/cell. The size of the total moment comes out at 0.00 μB/cell. Its uncorrected formation energy is -2678 meV/atom.

Unit cell a=3.997 b=3.997 c=7.643 alpha=105.16 beta=105.16 gamma=90.00
Positions (direct):
F 0.744 0.244 0.489
F 0.244 0.744 0.489
Ca 0.156 0.156 0.312
Bi 0.506 0.506 0.012
Sr 0.849 0.849 0.699

---

A plane-wave DFT calculation with GGA-PBE was carried out for an optimized crystal structure of NbH3Os.

Summary:
The total energy comes out at -5.5778 eV/atom. The density of states at the Fermi level comes out at 1.68 states/eV/cell. The size of the total moment comes out at 1.71 μB/cell.

Unit cell a=3.536 b=3.536 c=3.536 alpha=90.00 beta=90.00 gamma=90.00
Positions (direct):
Nb 0.000 0.000 0.000
H 0.000 0.000 0.500
H 0.000 0.500 0.000
H 0.500 0.000 0.000
Os 0.500 0.500 0.500

---

A plane-wave DFT calculation with GGA-PBE was carried out for an optimized crystal structure of ScZnIn.

Summary:
Its energy relative to the elements is -0.238 eV per atom. The density of states at the Fermi level comes out at 1.98 states/eV/cell. The size of the total moment comes out at 0.39 μB/cell.

Unit cell a=6.203 b=6.203 c=3.261 alpha=74.76 beta=74.76 gamma=30.48
Positions (direct):
In 0.010 0.010 0.990
Zn 0.668 0.668 0.332
Sc 0.321 0.321 0.679

---

A plane-wave DFT calculation with GGA-PBE was carried out for an optimized crystal structure of RbCa2TlSe4.

Summary:
The density of states at the Fermi level comes out at 4.91 states/eV/cell. The size of the total moment comes out at 0.00 μB/cell. Its uncorrected formation energy is -1166 meV/atom.

Unit cell a=8.751 b=8.751 c=8.869 alpha=120.43 beta=120.43 gamma=88.11
Positions (direct):
Rb 0.000 0.500 0.000
Rb 0.000 0.500 0.500
Se 0.307 0.748 0.528
Se 0.265 0.236 0.529
Se 0.736 0.765 0.029
Se 0.248 0.807 0.028
Se 0.752 0.193 0.972
Se 0.735 0.764 0.471
Se 0.693 0.252 0.472
Se 0.264 0.235 0.971
Ca 0.000 0.000 0.500
Ca 0.500 0.500 0.000
Ca 0.500 0.000 0.500
Ca 0.500 0.000 0.000
Tl 0.500 0.500 0.500
Tl 0.000 0.000 0.000

---

A plane-wave DFT calculation with GGA-PBE was carried out for an optimized crystal structure of SbRh2F.

Summary:
The density of states at the Fermi level comes out at 3.27 states/eV/cell. The size of the total moment comes out at 0.00 μB/cell. Its uncorrected formation energy is -257 meV/atom.

Unit cell a=6.681 b=6.681 c=5.509 alpha=52.67 beta=52.67 gamma=90.00
Positions (direct):
F 0.250 0.750 0.500
F 0.500 0.500 0.000
Sb 0.000 0.000 0.000
Sb 0.750 0.250 0.500
Rh 0.151 0.625 0.250
Rh 0.375 0.401 0.750
Rh 0.875 0.849 0.750
Rh 0.599 0.125 0.250